[1]
# PBE Ti2SnOs, optimized geometry
# Energy relative to the elements: -0.272 eV per atom
data_Ti2SnOs
_space_group_name_H-M_alt 'P 4/m m m'
_space_group_IT_number 123
_space_group_name_Hall '-P 4 2'
_cell_length_a 3.3641
_cell_length_b 3.3641
_cell_length_c 5.9715
_cell_angle_alpha 90.00
_cell_angle_beta 90.00
_cell_angle_gamma 90.00
loop_
_atom_site_label
_atom_site_type_symbol
_atom_site_fract_x
_atom_site_fract_y
_atom_site_fract_z
Ti1 Ti 0.0000 0.0000 0.2242
Sn1 Sn 0.5000 0.5000 0.5000
Os1 Os 0.5000 0.5000 0.0000

***

[2]
# PBE CsThH2Cl8, optimized geometry
# E: -45.1 eV per formula unit
data_CsThH2Cl8
_space_group_name_H-M_alt 'P -1'
_space_group_IT_number 2
_cell_length_a 4.9823
_cell_length_b 6.4527
_cell_length_c 12.2878
_cell_angle_alpha 92.30
_cell_angle_beta 95.22
_cell_angle_gamma 108.74
loop_
_space_group_symop_operation_xyz
'x,y,z'
'-x,-y,-z'
loop_
_atom_site_label
_atom_site_type_symbol
_atom_site_fract_x
_atom_site_fract_y
_atom_site_fract_z
Cs1 Cs 0.0000 0.0000 0.0000
Th1 Th 0.0000 0.0000 0.5000
H1 H 0.0857 0.5029 0.6841
Cl1 Cl 0.0265 0.2056 0.3159
Cl2 Cl 0.1805 0.3361 0.7025
Cl3 Cl 0.2662 0.5365 0.0019
Cl4 Cl 0.3930 0.7489 0.4787

***

[3]
# PBE K2MnNb2S6, optimized geometry
# E: -67.1 eV per formula unit
data_K2MnNb2S6
_space_group_name_H-M_alt 'C 1 2/m 1'
_space_group_IT_number 12
_cell_length_a 5.9239
_cell_length_b 10.5803
_cell_length_c 7.9598
_cell_angle_alpha 90.00
_cell_angle_beta 104.13
_cell_angle_gamma 90.00
loop_
_space_group_symop_operation_xyz
'x,y,z'
'-x,-y,-z'
'-x,y,-z'
'x,-y,z'
'x+1/2,y+1/2,z'
'-x+1/2,-y+1/2,-z'
'-x+1/2,y+1/2,-z'
'x+1/2,-y+1/2,z'
loop_
_atom_site_label
_atom_site_type_symbol
_atom_site_fract_x
_atom_site_fract_y
_atom_site_fract_z
K1 K 0.0000 0.1775 0.0000
Mn1 Mn 0.0000 0.0000 0.5000
Nb1 Nb 0.0000 0.3599 0.5000
S1 S 0.2129 0.1632 0.6771
S2 S 0.2438 0.0000 0.2957

***

[4]
# PBE Cr2IrW, optimized geometry
# Energy relative to the elements: 0.115 eV per atom
data_Cr2IrW
_space_group_name_H-M_alt 'P 1 2/m 1'
_space_group_IT_number 10
_cell_length_a 2.6435
_cell_length_b 4.1098
_cell_length_c 5.1787
_cell_angle_alpha 90.00
_cell_angle_beta 102.01
_cell_angle_gamma 90.00
loop_
_space_group_symop_operation_xyz
'x,y,z'
'-x,-y,-z'
'-x,y,-z'
'x,-y,z'
loop_
_atom_site_label
_atom_site_type_symbol
_atom_site_fract_x
_atom_site_fract_y
_atom_site_fract_z
Cr1 Cr 0.1786 0.0000 0.2454
Ir1 Ir 0.5000 0.5000 0.0000
W1 W 0.0000 0.5000 0.5000

***

[5]
# PBE Dy4ZnTe2P, optimized geometry
# E: -40.4 eV per formula unit
data_Dy4ZnTe2P
_space_group_name_H-M_alt 'P 1 2/m 1'
_space_group_IT_number 10
_cell_length_a 7.3754
_cell_length_b 4.1097
_cell_length_c 7.3801
_cell_angle_alpha 90.00
_cell_angle_beta 108.18
_cell_angle_gamma 90.00
loop_
_space_group_symop_operation_xyz
'x,y,z'
'-x,-y,-z'
'-x,y,-z'
'x,-y,z'
loop_
_atom_site_label
_atom_site_type_symbol
_atom_site_fract_x
_atom_site_fract_y
_atom_site_fract_z
Dy1 Dy 0.2309 0.0000 0.2165
Dy2 Dy 0.2515 0.5000 0.7748
Zn1 Zn 0.5000 0.0000 0.0000
Te1 Te 0.0000 0.0000 0.5000
Te2 Te 0.5000 0.5000 0.5000
P1 P 0.0000 0.5000 0.0000

***

[6]
# PBE CaLa2CeSe4, optimized geometry
# E: -47.2 eV per formula unit
data_CaLa2CeSe4
_space_group_name_H-M_alt 'P 1 2/m 1'
_space_group_IT_number 10
_cell_length_a 7.3870
_cell_length_b 4.2442
_cell_length_c 7.4093
_cell_angle_alpha 90.00
_cell_angle_beta 109.22
_cell_angle_gamma 90.00
loop_
_space_group_symop_operation_xyz
'x,y,z'
'-x,-y,-z'
'-x,y,-z'
'x,-y,z'
loop_
_atom_site_label
_atom_site_type_symbol
_atom_site_fract_x
_atom_site_fract_y
_atom_site_fract_z
Ca1 Ca 0.0000 0.0000 0.0000
La1 La 0.5000 0.0000 0.5000
La2 La 0.5000 0.5000 0.0000
Ce1 Ce 0.0000 0.5000 0.5000
Se1 Se 0.2394 0.5000 0.2439
Se2 Se 0.2409 0.0000 0.7503